P) Compound: CeMg14W
Source: Alexandria
Functional: PBE-GGA
Structure: relaxed

Space-group type = Amm2
Total moment = 0.2 μB per cell

Cell: 10.438 6.452 6.452 Å, 55.26 90.00 90.00°
Sites, in units of the cell vectors:
Ce 0.000 0.000 0.000
Mg 0.000 0.002 0.496
Mg 0.000 0.496 0.002
Mg 0.228 0.639 0.639
Mg 0.247 0.154 0.643
Mg 0.247 0.643 0.154
Mg 0.265 0.150 0.150
Mg 0.500 0.492 0.492
Mg 0.500 0.494 0.988
Mg 0.500 0.986 0.986
Mg 0.500 0.988 0.494
Mg 0.735 0.150 0.150
Mg 0.753 0.154 0.643
Mg 0.753 0.643 0.154
Mg 0.772 0.639 0.639
W 0.000 0.486 0.486



Q) Compound: CeMg14W
Source: Alexandria
Functional: PBE-GGA
Structure: relaxed

Space-group type = P-6m2
Total moment = 3.1 μB per cell

Cell: 6.415 6.415 10.192 Å, 90.00 90.00 120.00°
Sites, in units of the cell vectors:
Ce 0.000 0.000 0.000
Mg 0.016 0.508 0.000
Mg 0.162 0.325 0.269
Mg 0.162 0.325 0.731
Mg 0.162 0.838 0.269
Mg 0.162 0.838 0.731
Mg 0.492 0.508 0.000
Mg 0.492 0.984 0.000
Mg 0.504 0.007 0.500
Mg 0.504 0.496 0.500
Mg 0.667 0.333 0.234
Mg 0.667 0.333 0.766
Mg 0.675 0.838 0.269
Mg 0.675 0.838 0.731
Mg 0.993 0.496 0.500
W 0.000 0.000 0.500



Tell me which of them is the most stable. Sure, it is P).



P) Compound: CeY2Mg
Source: Alexandria
Functional: PBE-GGA
Structure: relaxed

Space-group type = Fm-3m
Total moment = 1.7 μB per cell

Cell: 5.521 5.521 5.521 Å, 60.00 60.00 60.00°
Sites, in units of the cell vectors:
Ce 0.000 0.000 0.000
Y 0.250 0.250 0.250
Y 0.750 0.750 0.750
Mg 0.500 0.500 0.500



Q) Compound: CeY2Mg
Source: Alexandria
Functional: PBE-GGA
Structure: relaxed

Space-group type = R-3m
Total moment = 0.5 μB per cell

Cell: 12.260 12.260 12.260 Å, 15.65 15.65 15.65°
Sites, in units of the cell vectors:
Ce 0.000 0.000 0.000
Y 0.090 0.090 0.090
Y 0.910 0.910 0.910
Mg 0.500 0.500 0.500



R) Compound: CeY2Mg
Source: Alexandria
Functional: PBE-GGA
Structure: relaxed

Space-group type = P4/mmm
Total moment = 0.4 μB per cell

Cell: 3.541 3.541 9.284 Å, 90.00 90.00 90.00°
Sites, in units of the cell vectors:
Ce 0.000 0.000 0.000
Y 0.500 0.500 0.259
Y 0.500 0.500 0.741
Mg 0.000 0.000 0.500



Tell me which of them is the most stable. Sure, it is R).



P) Compound: CeY2Mg
Source: Alexandria
Functional: PBE-GGA
Structure: relaxed

Space-group type = I-4m2
Total moment = 1.5 μB per cell

Cell: 5.531 5.531 5.531 Å, 119.97 119.97 90.06°
Sites, in units of the cell vectors:
Ce 0.000 0.000 0.000
Y 0.250 0.750 0.500
Y 0.500 0.500 0.000
Mg 0.750 0.250 0.500



Q) Compound: CeY2Mg
Source: Alexandria
Functional: PBE-GGA
Structure: relaxed

Space-group type = P4/mmm
Total moment = 1.7 μB per cell

Cell: 4.953 4.953 4.866 Å, 90.00 90.00 90.00°
Sites, in units of the cell vectors:
Ce 0.000 0.000 0.000
Y 0.000 0.500 0.500
Y 0.500 0.000 0.500
Mg 0.500 0.500 0.000



Tell me which of them is the most stable. Sure, it is Q).



P) Compound: Ce2YMg
Source: Alexandria
Functional: PBE-GGA
Structure: relaxed

Space-group type = Cm
Total moment = 1.5 μB per cell

Cell: 3.343 3.343 11.926 Å, 97.95 97.95 60.04°
Sites, in units of the cell vectors:
Ce 0.000 0.000 0.000
Ce 0.164 0.164 0.492
Y 0.582 0.582 0.746
Mg 0.416 0.416 0.246



Q) Compound: Ce2YMg
Source: Alexandria
Functional: PBE-GGA
Structure: relaxed

Space-group type = Fm-3m
Total moment = 2.3 μB per cell

Cell: 5.534 5.534 5.534 Å, 60.00 60.00 60.00°
Sites, in units of the cell vectors:
Ce 0.250 0.250 0.250
Ce 0.750 0.750 0.750
Y 0.000 0.000 0.000
Mg 0.500 0.500 0.500



Tell me which of them is the most stable. Sure, it is P).



P) Compound: Ce2YMg
Source: Alexandria
Functional: PBE-GGA
Structure: relaxed

Space-group type = R-3m
Total moment = 1.5 μB per cell

Cell: 12.705 12.705 12.705 Å, 14.85 14.85 14.85°
Sites, in units of the cell vectors:
Ce 0.088 0.088 0.088
Ce 0.912 0.912 0.912
Y 0.500 0.500 0.500
Mg 0.000 0.000 0.000



Q) Compound: Ce2YMg
Source: Alexandria
Functional: PBE-GGA
Structure: relaxed

Space-group type = P4/mmm
Total moment = 1.8 μB per cell

Cell: 3.320 3.320 10.448 Å, 90.00 90.00 90.00°
Sites, in units of the cell vectors:
Ce 0.000 0.000 0.240
Ce 0.000 0.000 0.760
Y 0.500 0.500 0.500
Mg 0.500 0.500 0.000



Tell me which of them is the most stable. Sure, it is Q).



P) Compound: CeYMg
Source: Alexandria
Functional: PBE-GGA
Structure: relaxed

Space-group type = I4mm
Total moment = 1.0 μB per cell

Cell: 7.765 7.765 7.765 Å, 154.51 154.51 36.36°
Sites, in units of the cell vectors:
Ce 0.000 0.000 0.000
Y 0.677 0.677 0.000
Mg 0.336 0.336 0.000



Q) Compound: CeYMg
Source: Alexandria
Functional: PBE-GGA
Structure: relaxed

Space-group type = Pnma
Total moment = 4.0 μB per cell

Cell: 5.770 5.645 10.507 Å, 90.00 90.00 90.00°
Sites, in units of the cell vectors:
Ce 0.148 0.250 0.195
Ce 0.352 0.750 0.695
Ce 0.648 0.250 0.305
Ce 0.852 0.750 0.805
Y 0.183 0.250 0.514
Y 0.317 0.750 0.014
Y 0.683 0.250 0.986
Y 0.817 0.750 0.486
Mg 0.189 0.250 0.840
Mg 0.311 0.750 0.340
Mg 0.689 0.250 0.660
Mg 0.811 0.750 0.160



R) Compound: CeYMg
Source: Alexandria
Functional: PBE-GGA
Structure: relaxed

Space-group type = P3m1
Total moment = 1.1 μB per cell

Cell: 5.480 5.480 3.300 Å, 90.00 90.00 120.00°
Sites, in units of the cell vectors:
Ce 0.000 0.000 0.000
Y 0.333 0.667 0.581
Mg 0.667 0.333 0.329



Tell me which of them is the most stable. Sure, it is P).